# Cs2MgCoO4, relaxed, DFT PBE+U
data_Cs2MgCoO4
_chemical_formula_sum 'Cs4 Mg2 Co2 O8'
_symmetry_space_group_name_H-M 'P 1'
_symmetry_Int_Tables_number 1
_cell_length_a 5.140
_cell_length_b 6.768
_cell_length_c 11.409
_cell_angle_alpha 85.09
_cell_angle_beta 76.98
_cell_angle_gamma 67.68
loop_
_symmetry_equiv_pos_as_xyz
'x,y,z'
loop_
_atom_site_label
_atom_site_fract_x
_atom_site_fract_y
_atom_site_fract_z
Cs1 0.925 0.500 0.151
Cs2 0.175 0.000 0.651
Cs3 0.825 0.000 0.349
Cs4 0.575 0.500 0.849
Mg1 0.750 0.500 0.500
Mg2 0.000 0.000 0.000
O1 0.439 0.663 0.415
O2 0.852 0.837 0.915
O3 0.517 0.337 0.585
O4 0.146 0.337 0.415
O5 0.233 0.163 0.915
O6 0.898 0.663 0.585
O7 0.311 0.837 0.085
O8 0.604 0.163 0.085
Co1 0.250 0.500 0.500
Co2 0.500 0.000 0.000
# space group	No. 70
# calculated volume	22.36	Å³ per atom
# calculated total energy	-4.9743	eV/atom